# 1
This record from the Alexandria database describes a geometry-optimized WSeN3 structure. The functional is PBE-GGA.

Output
D(E_F) (states/eV per cell): 1.85
Formation energy without anion corrections (kJ per mole of atoms): 196

Geometry as POSCAR:
```
WSeN3
1.0
3.737 0.000 0.000
0.000 3.737 0.000
0.000 0.000 3.737
W Se N
1 1 3
direct
0.000 0.000 0.000
0.500 0.500 0.500
0.000 0.500 0.500
0.500 0.000 0.500
0.500 0.500 0.000
```



# 2
This record from the Alexandria database describes a geometry-optimized WSe3N structure. The functional is PBE-GGA.

Output
Distance to the lowest polymorph of the same formula (kcal/mol of atoms): 0.00
D(E_F) (states/eV per cell): 3.16
Formation energy without anion corrections (kJ per mole of atoms): 114

Geometry as POSCAR:
```
WSe3N
1.0
4.948 0.000 0.000
0.000 4.948 0.000
0.000 0.000 4.948
W Se N
1 3 1
direct
0.000 0.000 0.000
0.000 0.000 0.500
0.000 0.500 0.000
0.500 0.000 0.000
0.500 0.500 0.500
```



# 3
This record from the Alexandria database describes a geometry-optimized WSe3N structure. The functional is PBE-GGA.

Output
Distance to the lowest polymorph of the same formula (kcal/mol of atoms): 2.57
D(E_F) (states/eV per cell): 3.01
Formation energy without anion corrections (kJ per mole of atoms): 125

Geometry as POSCAR:
```
WSe3N
1.0
4.293 0.000 0.000
0.000 4.293 0.000
0.000 0.000 4.293
W Se N
1 3 1
direct
0.000 0.000 0.000
0.000 0.500 0.500
0.500 0.000 0.500
0.500 0.500 0.000
0.500 0.500 0.500
```



# 4
This record from the Alexandria database describes a geometry-optimized YWSe2N structure. The functional is PBE-GGA.

Output
Distance to the lowest polymorph of the same formula (kcal/mol of atoms): 35.23
D(E_F) (states/eV per cell): 2.36
Formation energy without anion corrections (kJ per mole of atoms): 99

Geometry as POSCAR:
```
YWSe2N
1.0
5.431 0.000 0.000
0.000 5.431 0.000
0.000 0.000 4.263
Y W Se N
1 1 2 1
direct
0.000 0.000 0.000
0.500 0.500 0.500
0.000 0.500 0.000
0.500 0.000 0.000
0.000 0.000 0.500
```



# 5
This record from the Alexandria database describes a geometry-optimized YWSeN2 structure. The functional is PBE-GGA.

Output
Distance to the lowest polymorph of the same formula (kcal/mol of atoms): 43.41
D(E_F) (states/eV per cell): 2.04
Formation energy without anion corrections (kJ per mole of atoms): 141

Geometry as POSCAR:
```
YWSeN2
1.0
4.333 0.000 0.000
0.000 4.333 0.000
0.000 0.000 5.518
Y W Se N
1 1 1 2
direct
0.000 0.000 0.000
0.500 0.500 0.500
0.000 0.000 0.500
0.000 0.500 0.000
0.500 0.000 0.000
```



# 6
This record from the Alexandria database describes a geometry-optimized YWSe2N structure. The functional is PBE-GGA.

Output
Distance to the lowest polymorph of the same formula (kcal/mol of atoms): 0.00
D(E_F) (states/eV per cell): 2.14
Formation energy without anion corrections (kJ per mole of atoms): -49

Geometry as POSCAR:
```
YWSe2N
1.0
5.115 0.000 0.000
0.000 5.115 0.000
0.000 0.000 3.838
Y W Se N
1 1 2 1
direct
0.000 0.000 0.000
0.500 0.500 0.500
0.000 0.500 0.500
0.500 0.000 0.500
0.500 0.500 0.000
```



# 7
This record from the Alexandria database describes a geometry-optimized YWSeN2 structure. The functional is PBE-GGA.

Output
Distance to the lowest polymorph of the same formula (kcal/mol of atoms): 0.00
D(E_F) (states/eV per cell): 2.95
Formation energy without anion corrections (kJ per mole of atoms): -40

Geometry as POSCAR:
```
YWSeN2
1.0
3.997 0.000 0.000
0.000 3.997 0.000
0.000 0.000 5.117
Y W Se N
1 1 1 2
direct
0.000 0.000 0.000
0.500 0.500 0.500
0.500 0.500 0.000
0.000 0.500 0.500
0.500 0.000 0.500
```



# 8
This record from the Alexandria database describes a geometry-optimized ZnWSeN2 structure. The functional is PBE-GGA.

Output
Distance to the lowest polymorph of the same formula (kcal/mol of atoms): 38.63
D(E_F) (states/eV per cell): 3.78
Formation energy without anion corrections (kJ per mole of atoms): 188

Geometry as POSCAR:
```
ZnWSeN2
1.0
3.803 0.000 0.000
0.000 3.803 0.000
0.000 0.000 4.881
Zn W Se N
1 1 1 2
direct
0.000 0.000 0.000
0.500 0.500 0.500
0.000 0.000 0.500
0.000 0.500 0.000
0.500 0.000 0.000
```